## LiInSb2 (PBE-GGA)

Data for a geometry-optimized LiInSb2 structure.

It has space group Pmm2 (No. 25), with a = 3.3032 Å, b = 4.4598 Å, c = 6.9370 Å, α = 90.00°, β = 90.00° and γ = 90.00°. The distinct sites, in fractional coordinates, are Li at (0.0000, 0.0000, 0.0000), In at (0.5000, 0.5000, 0.7210), Sb at (0.0000, 0.0000, 0.5103) and Sb at (0.5000, 0.5000, 0.1408).

Its crystal system is orthorhombic. The value obtained for the formation energy from raw total energies is -0.084 eV per atom.